# 1
# La2ThReN5 PBE relaxed
# calculated total energy = -8.77 eV per atom
# formation energy without anion corrections = -0.8395 eV/atom
# symmetry = No. 127
data_La2ThReN5
_chemical_formula_sum 'La4 Th2 Re2 N10'
_space_group_name_H-M_alt 'P 1'
_space_group_IT_number 1
_space_group_name_Hall 'P 1'
_cell_length_a 6.0635
_cell_length_b 6.7615
_cell_length_c 6.7615
_cell_angle_alpha 90.00
_cell_angle_beta 90.00
_cell_angle_gamma 90.00
loop_
_atom_site_label
_atom_site_type_symbol
_atom_site_fract_x
_atom_site_fract_y
_atom_site_fract_z
_atom_site_occupancy
La1 La 0.5000 0.3331 0.8331 1
N1 N 0.5000 0.5000 0.5000 1
N2 N 0.2186 0.6460 0.8540 1
La2 La 0.5000 0.8331 0.6669 1
N3 N 0.7814 0.3540 0.1460 1
Th1 Th 0.0000 0.5000 0.5000 1
Re1 Re 0.0000 0.0000 0.5000 1
Re2 Re 0.0000 0.5000 0.0000 1
Th2 Th 0.0000 0.0000 0.0000 1
N4 N 0.5000 0.0000 0.0000 1
N5 N 0.7814 0.8540 0.3540 1
N6 N 0.2186 0.3540 0.1460 1
La3 La 0.5000 0.6669 0.1669 1
La4 La 0.5000 0.1669 0.3331 1
N7 N 0.7814 0.1460 0.6460 1
N8 N 0.7814 0.6460 0.8540 1
N9 N 0.2186 0.8540 0.3540 1
N10 N 0.2186 0.1460 0.6460 1



# 2
# LaTiRe2N PBE relaxed
# calculated total energy = -6.80 eV per atom
# formation energy without anion corrections = 2.4074 eV/atom
# symmetry = No. 123
data_LaTiRe2N
_chemical_formula_sum 'La1 Ti1 Re2 N1'
_space_group_name_H-M_alt 'P 1'
_space_group_IT_number 1
_space_group_name_Hall 'P 1'
_cell_length_a 5.0082
_cell_length_b 3.9281
_cell_length_c 5.0082
_cell_angle_alpha 90.00
_cell_angle_beta 90.00
_cell_angle_gamma 90.00
loop_
_atom_site_label
_atom_site_type_symbol
_atom_site_fract_x
_atom_site_fract_y
_atom_site_fract_z
_atom_site_occupancy
Ti1 Ti 0.5000 0.5000 0.5000 1
La1 La 0.0000 0.0000 0.0000 1
Re1 Re 0.0000 0.0000 0.5000 1
N1 N 0.0000 0.5000 0.0000 1
Re2 Re 0.5000 0.0000 0.0000 1



# 3
# LaTl2ReN PBE relaxed
# calculated total energy = -5.26 eV per atom
# formation energy without anion corrections = 0.8232 eV/atom
# symmetry = No. 123
data_LaTl2ReN
_chemical_formula_sum 'La1 Tl2 Re1 N1'
_space_group_name_H-M_alt 'P 1'
_space_group_IT_number 1
_space_group_name_Hall 'P 1'
_cell_length_a 4.8211
_cell_length_b 4.8223
_cell_length_c 4.8211
_cell_angle_alpha 90.00
_cell_angle_beta 90.00
_cell_angle_gamma 90.00
loop_
_atom_site_label
_atom_site_type_symbol
_atom_site_fract_x
_atom_site_fract_y
_atom_site_fract_z
_atom_site_occupancy
Tl1 Tl 0.0000 0.0000 0.5000 1
Re1 Re 0.5000 0.5000 0.5000 1
N1 N 0.0000 0.0000 0.0000 1
Tl2 Tl 0.5000 0.0000 0.0000 1
La1 La 0.0000 0.5000 0.0000 1



# 4
# La2ReWN6 PBE relaxed
# calculated total energy = -9.39 eV per atom
# formation energy without anion corrections = -0.8705 eV/atom
# symmetry = No. 14
data_La2ReWN6
_chemical_formula_sum 'La4 Re2 W2 N12'
_space_group_name_H-M_alt 'P 1'
_space_group_IT_number 1
_space_group_name_Hall 'P 1'
_cell_length_a 5.6689
_cell_length_b 5.6390
_cell_length_c 7.9238
_cell_angle_alpha 90.00
_cell_angle_beta 89.94
_cell_angle_gamma 90.00
loop_
_atom_site_label
_atom_site_type_symbol
_atom_site_fract_x
_atom_site_fract_y
_atom_site_fract_z
_atom_site_occupancy
N1 N 0.7336 0.2701 0.5286 1
La1 La 0.5030 0.5141 0.7500 1
N2 N 0.2304 0.2324 0.4714 1
N3 N 0.2336 0.2299 0.0286 1
N4 N 0.7664 0.7701 0.9714 1
N5 N 0.7304 0.2676 0.9714 1
N6 N 0.0537 0.4965 0.7483 1
W1 W 0.0000 0.5000 0.0000 1
N7 N 0.7696 0.7676 0.5286 1
N8 N 0.2664 0.7299 0.4714 1
N9 N 0.2696 0.7324 0.0286 1
La2 La 0.4970 0.4859 0.2500 1
Re1 Re 0.5000 0.0000 0.0000 1
La3 La 0.9970 0.0141 0.7500 1
Re2 Re 0.0000 0.5000 0.5000 1
W2 W 0.5000 0.0000 0.5000 1
La4 La 0.0030 0.9859 0.2500 1
N10 N 0.9463 0.5035 0.2517 1
N11 N 0.4463 0.9965 0.7517 1
N12 N 0.5537 0.0035 0.2483 1



# 5
# LaY2ReN4 PBE relaxed
# calculated total energy = -9.00 eV per atom
# formation energy without anion corrections = -1.0481 eV/atom
# symmetry = No. 63
data_LaY2ReN4
_chemical_formula_sum 'La2 Y4 Re2 N8'
_space_group_name_H-M_alt 'P 1'
_space_group_IT_number 1
_space_group_name_Hall 'P 1'
_cell_length_a 3.4958
_cell_length_b 6.1787
_cell_length_c 11.9060
_cell_angle_alpha 90.00
_cell_angle_beta 90.00
_cell_angle_gamma 106.43
loop_
_atom_site_label
_atom_site_type_symbol
_atom_site_fract_x
_atom_site_fract_y
_atom_site_fract_z
_atom_site_occupancy
N1 N 0.2619 0.5238 0.1185 1
N2 N 0.7381 0.4762 0.8815 1
N3 N 0.4205 0.8410 0.7500 1
Re1 Re 0.1691 0.3381 0.2500 1
N4 N 0.0000 0.0000 0.0000 1
N5 N 0.0000 0.0000 0.5000 1
Y1 Y 0.3697 0.7394 0.9588 1
Y2 Y 0.6303 0.2606 0.4588 1
Y3 Y 0.3697 0.7394 0.5412 1
N6 N 0.2619 0.5238 0.3815 1
N7 N 0.7381 0.4762 0.6185 1
N8 N 0.5795 0.1590 0.2500 1
Re2 Re 0.8309 0.6619 0.7500 1
La1 La 0.9144 0.8288 0.2500 1
La2 La 0.0856 0.1712 0.7500 1
Y4 Y 0.6303 0.2606 0.0412 1



# 6
# La2ZnReN PBE relaxed
# calculated total energy = -6.92 eV per atom
# formation energy without anion corrections = -0.5429 eV/atom
# symmetry = No. 123
data_La2ZnReN
_chemical_formula_sum 'La2 Zn1 Re1 N1'
_space_group_name_H-M_alt 'P 1'
_space_group_IT_number 1
_space_group_name_Hall 'P 1'
_cell_length_a 5.2774
_cell_length_b 5.2774
_cell_length_c 3.8969
_cell_angle_alpha 90.00
_cell_angle_beta 90.00
_cell_angle_gamma 90.00
loop_
_atom_site_label
_atom_site_type_symbol
_atom_site_fract_x
_atom_site_fract_y
_atom_site_fract_z
_atom_site_occupancy
La1 La 0.5000 0.0000 0.0000 1
Re1 Re 0.0000 0.0000 0.5000 1
Zn1 Zn 0.5000 0.5000 0.5000 1
N1 N 0.0000 0.0000 0.0000 1
La2 La 0.0000 0.5000 0.0000 1



# 7
# La2ZrReN PBE relaxed
# calculated total energy = -8.03 eV per atom
# formation energy without anion corrections = -0.1952 eV/atom
# symmetry = No. 123
data_La2ZrReN
_chemical_formula_sum 'La2 Zr1 Re1 N1'
_space_group_name_H-M_alt 'P 1'
_space_group_IT_number 1
_space_group_name_Hall 'P 1'
_cell_length_a 5.0708
_cell_length_b 4.3352
_cell_length_c 5.0708
_cell_angle_alpha 90.00
_cell_angle_beta 90.00
_cell_angle_gamma 90.00
loop_
_atom_site_label
_atom_site_type_symbol
_atom_site_fract_x
_atom_site_fract_y
_atom_site_fract_z
_atom_site_occupancy
N1 N 0.0000 0.0000 0.0000 1
Zr1 Zr 0.0000 0.5000 0.0000 1
Re1 Re 0.5000 0.5000 0.5000 1
La1 La 0.5000 0.0000 0.0000 1
La2 La 0.0000 0.0000 0.5000 1



# 8
# LaRh2N PBE relaxed
# calculated total energy = -6.35 eV per atom
# formation energy without anion corrections = 0.6406 eV/atom
# symmetry = No. 225
data_LaRh2N
_chemical_formula_sum 'La1 Rh2 N1'
_space_group_name_H-M_alt 'P 1'
_space_group_IT_number 1
_space_group_name_Hall 'P 1'
_cell_length_a 4.5224
_cell_length_b 4.5224
_cell_length_c 4.5224
_cell_angle_alpha 60.00
_cell_angle_beta 60.00
_cell_angle_gamma 60.00
loop_
_atom_site_label
_atom_site_type_symbol
_atom_site_fract_x
_atom_site_fract_y
_atom_site_fract_z
_atom_site_occupancy
Rh1 Rh 0.7500 0.7500 0.7500 1
La1 La 0.5000 0.5000 0.5000 1
Rh2 Rh 0.2500 0.2500 0.2500 1
N1 N 0.0000 0.0000 0.0000 1



# 9
# LaRhN2 PBE relaxed
# calculated total energy = -7.44 eV per atom
# formation energy without anion corrections = -0.2083 eV/atom
# symmetry = No. 166
data_LaRhN2
_chemical_formula_sum 'La1 Rh1 N2'
_space_group_name_H-M_alt 'P 1'
_space_group_IT_number 1
_space_group_name_Hall 'P 1'
_cell_length_a 6.0535
_cell_length_b 6.0535
_cell_length_c 6.0535
_cell_angle_alpha 38.61
_cell_angle_beta 38.61
_cell_angle_gamma 38.61
loop_
_atom_site_label
_atom_site_type_symbol
_atom_site_fract_x
_atom_site_fract_y
_atom_site_fract_z
_atom_site_occupancy
N1 N 0.1077 0.1077 0.1077 1
Rh1 Rh 0.0000 0.0000 0.0000 1
La1 La 0.5000 0.5000 0.5000 1
N2 N 0.8923 0.8923 0.8923 1



# 10
# LaRhN2 PBE relaxed
# calculated total energy = -7.09 eV per atom
# formation energy without anion corrections = 0.1422 eV/atom
# symmetry = No. 225
data_LaRhN2
_chemical_formula_sum 'La1 Rh1 N2'
_space_group_name_H-M_alt 'P 1'
_space_group_IT_number 1
_space_group_name_Hall 'P 1'
_cell_length_a 4.2100
_cell_length_b 4.2100
_cell_length_c 4.2100
_cell_angle_alpha 60.00
_cell_angle_beta 60.00
_cell_angle_gamma 60.00
loop_
_atom_site_label
_atom_site_type_symbol
_atom_site_fract_x
_atom_site_fract_y
_atom_site_fract_z
_atom_site_occupancy
La1 La 0.5000 0.5000 0.5000 1
N1 N 0.7500 0.7500 0.7500 1
N2 N 0.2500 0.2500 0.2500 1
Rh1 Rh 0.0000 0.0000 0.0000 1



# 11
# LaRh2N PBE relaxed
# calculated total energy = -7.19 eV per atom
# formation energy without anion corrections = -0.2051 eV/atom
# symmetry = No. 122
data_LaRh2N
_chemical_formula_sum 'La2 Rh4 N2'
_space_group_name_H-M_alt 'P 1'
_space_group_IT_number 1
_space_group_name_Hall 'P 1'
_cell_length_a 4.8651
_cell_length_b 4.8651
_cell_length_c 7.3393
_cell_angle_alpha 70.64
_cell_angle_beta 70.64
_cell_angle_gamma 90.00
loop_
_atom_site_label
_atom_site_type_symbol
_atom_site_fract_x
_atom_site_fract_y
_atom_site_fract_z
_atom_site_occupancy
Rh1 Rh 0.3750 0.5587 0.7500 1
N1 N 0.5000 0.5000 0.0000 1
La1 La 0.7500 0.2500 0.5000 1
Rh2 Rh 0.4413 0.1250 0.2500 1
Rh3 Rh 0.3087 0.6250 0.2500 1
Rh4 Rh 0.8750 0.6913 0.7500 1
La2 La 0.0000 0.0000 0.0000 1
N2 N 0.2500 0.7500 0.5000 1